The following is a DFT calculation (GGA-PBE) of crystalline TiSiI3 at its relaxed geometry.

Cell and atoms, written as CIF:
```
data_TiSiI3
_chemical_formula_sum 'Ti1 Si1 I3'
_symmetry_space_group_name_H-M 'P 1'
_symmetry_Int_Tables_number 1
_cell_length_a 5.574
_cell_length_b 5.574
_cell_length_c 5.574
_cell_angle_alpha 90.00
_cell_angle_beta 90.00
_cell_angle_gamma 90.00
loop_
_symmetry_equiv_pos_as_xyz
'x,y,z'
loop_
_atom_site_label
_atom_site_type_symbol
_atom_site_fract_x
_atom_site_fract_y
_atom_site_fract_z
_atom_site_occupancy
I1 I 0.000 0.500 0.000 1
I2 I 0.000 0.000 0.500 1
I3 I 0.500 0.000 0.000 1
Si1 Si 0.000 0.000 0.000 1
Ti1 Ti 0.500 0.500 0.500 1
```

Results
Spin magnetization in Bohr magnetons per cell: 0.34
Space-group type: Pm-3m (221)
Relative energy among the computed polymorphs in eV per formula unit: 2.14
Energy relative to the elements, uncorrected in meV/atom: 696